A relaxed structure of TeOs4Pt, computed with PBE-GGA.

The uncorrected formation energy is 6.04 eV per formula unit. The uncorrected energy comes out at -8.011 eV/atom. As for the magnetic moment: 0.00 μB/f.u.

The space group is F-43m (No. 216) and the conventional cell measures 7.415, 7.415 and 7.415 Å, with angles of 90.00, 90.00 and 90.00 degrees. Symmetry generates all atoms from Te at (0.000, 0.000, 0.000), Os at (0.124, 0.124, 0.624) and Pt at (0.250, 0.250, 0.250).



A relaxed structure of IrRuNF2, computed with PBE-GGA.

The uncorrected formation energy is 3.07 eV per formula unit. For the polymorph energy (0 for the lowest one), the calculation gives 145 meV per atom. The uncorrected energy comes out at -5.428 eV/atom. As for the magnetic moment: 1.99 μB/f.u.

The space group is P4/mmm (No. 123) and the conventional cell measures 4.236, 4.236 and 3.727 Å, with angles of 90.00, 90.00 and 90.00 degrees. Symmetry generates all atoms from Ir at (0.000, 0.000, 0.000), Ru at (0.500, 0.500, 0.500), N at (0.500, 0.500, 0.000) and F at (0.000, 0.500, 0.500).



A relaxed structure of La4SnN2, computed with PBE-GGA.

The uncorrected formation energy is -3.11 eV per formula unit. For the polymorph energy (0 for the lowest one), the calculation gives 528 meV per atom. The uncorrected energy comes out at -6.211 eV/atom. As for the magnetic moment: 0.00 μB/f.u.

The space group is I4/mmm (No. 139) and the conventional cell measures 5.971, 5.971 and 12.420 Å, with angles of 90.00, 90.00 and 90.00 degrees. Symmetry generates all atoms from La at (0.000, 0.000, 0.233), La at (0.000, 0.500, 0.000), Sn at (0.000, 0.000, 0.500) and N at (0.000, 0.000, 0.053).